VASP calculation (PBE) on a relaxed LuTaPt2 crystal.

Cell and atoms, written as CIF:
```
data_LuTaPt2
_chemical_formula_sum 'Lu1 Ta1 Pt2'
_space_group_name_H-M_alt 'P 1'
_space_group_IT_number 1
_space_group_name_Hall 'P 1'
_cell_length_a 4.613
_cell_length_b 4.613
_cell_length_c 4.613
_cell_angle_alpha 60.00
_cell_angle_beta 60.00
_cell_angle_gamma 60.00
loop_
_atom_site_label
_atom_site_fract_x
_atom_site_fract_y
_atom_site_fract_z
Lu1 0.250 0.250 0.250
Pt1 0.000 0.000 0.000
Pt2 0.750 0.750 0.750
Ta1 0.500 0.500 0.500
```

Properties
energy	-7.622	eV per atom
ρ	17.8	g/cm3